#i
A plane-wave DFT calculation with PBEsol was carried out for a relaxed TaReW2 crystal.

abc: 5.226 5.226 2.756
angles: 100.06 100.06 117.18
Fractional coordinates of all 4 atoms:
1 Ta 0.000 0.000 0.000
2 Re 0.500 0.500 0.000
3 W 0.000 0.500 0.500
4 W 0.500 0.000 0.500

Computed properties:
- Density: 19.3 g/cm³

#ii
A plane-wave DFT calculation with PBEsol was carried out for a relaxed TaReW2 crystal.

abc: 8.672 8.672 8.672
angles: 19.74 19.74 19.74
Fractional coordinates of all 4 atoms:
1 Ta 0.000 0.000 0.000
2 Re 0.249 0.249 0.249
3 W 0.502 0.502 0.502
4 W 0.752 0.752 0.752

Computed properties:
- Density: 18.8 g/cm³

Which of them is the most stable? Correct choice: #i.